[1]
Pr2BeGa4Cu3 | PBE-GGA | optimized geometry

Cell: 4.2261 4.2261 10.0356 Å, 90.00 90.00 90.00°
Space group P-4m2 (No. 115)
Unique sites:
Pr: 0.0000 0.5000 0.2424 x2
Be: 0.5000 0.5000 0.0000 x1
Ga: 0.0000 0.0000 0.5000 x1
Ga: 0.0000 0.5000 0.8766 x2
Ga: 0.5000 0.5000 0.5000 x1
Cu: 0.0000 0.0000 0.0000 x1
Cu: 0.0000 0.5000 0.6328 x2

Results
M_tot in μB/f.u.: 0.00
Energy in eV per cell: -41.79
Energy of formation in kJ/mol of formula units: -396.1

[2]
NaIn2Hg10 | PBE-GGA | optimized geometry

Cell: 6.4553 14.8086 15.2288 Å, 90.00 90.00 90.00°
Space group Fmmm (No. 69)
Unique sites:
Na: 0.0000 0.0000 0.0000 x4
In: 0.2500 0.0000 0.2500 x8
Hg: 0.0000 0.1062 0.3960 x16
Hg: 0.0000 0.1754 0.1748 x16
Hg: 0.2500 0.2500 0.0000 x8

Results
M_tot in μB/f.u.: 0.00
Energy in eV per cell: -39.50
Energy of formation in kJ/mol of formula units: -5.8

[3]
InTc2Os | PBE-GGA | optimized geometry

Cell: 3.1057 4.5182 8.9948 Å, 90.00 90.00 90.00°
Space group Imm2 (No. 44)
Unique sites:
In: 0.0000 0.0000 0.0000 x2
Tc: 0.0000 0.0000 0.5026 x2
Tc: 0.0000 0.5000 0.2449 x2
Os: 0.0000 0.5000 0.7542 x2

Results
M_tot in μB/f.u.: 0.00
Energy in eV per cell: -66.20
Energy of formation in kJ/mol of formula units: 154.2

Number 3 is which compound?
InTc2Os